# Na4MoO5 | the Alexandria database | PBE+U | relaxed
data_Na4MoO5
_chemical_formula_sum 'Na16 Mo4 O20'
_cell_length_a 5.727
_cell_length_b 10.106
_cell_length_c 10.145
_cell_angle_alpha 113.33
_cell_angle_beta 96.51
_cell_angle_gamma 96.21
_space_group_name_H-M_alt 'P 1'
_space_group_IT_number 1
_space_group_name_Hall 'P 1'
loop_
_atom_site_label
_atom_site_type_symbol
_atom_site_fract_x
_atom_site_fract_y
_atom_site_fract_z
Na1 Na 0.000 0.000 0.000
Na2 Na 0.002 0.398 0.598
Na3 Na 0.014 0.805 0.197
Na4 Na 0.220 0.549 0.934
Na5 Na 0.246 0.947 0.539
Na6 Na 0.263 0.356 0.159
Na7 Na 0.283 0.154 0.360
Na8 Na 0.490 0.897 0.089
Na9 Na 0.500 0.500 0.500
Na10 Na 0.510 0.103 0.911
Na11 Na 0.717 0.846 0.640
Na12 Na 0.737 0.644 0.841
Na13 Na 0.754 0.053 0.461
Na14 Na 0.780 0.451 0.066
Na15 Na 0.986 0.195 0.803
Na16 Na 0.998 0.602 0.402
Mo1 Mo 0.215 0.785 0.753
Mo2 Mo 0.481 0.299 0.737
Mo3 Mo 0.519 0.701 0.263
Mo4 Mo 0.785 0.215 0.247
O1 O 0.061 0.356 0.349
O2 O 0.115 0.958 0.773
O3 O 0.137 0.772 0.930
O4 O 0.193 0.602 0.189
O5 O 0.199 0.189 0.597
O6 O 0.334 0.730 0.575
O7 O 0.377 0.321 0.908
O8 O 0.397 0.883 0.318
O9 O 0.406 0.466 0.711
O10 O 0.458 0.151 0.149
O11 O 0.542 0.849 0.851
O12 O 0.594 0.534 0.289
O13 O 0.603 0.117 0.682
O14 O 0.623 0.679 0.092
O15 O 0.666 0.270 0.425
O16 O 0.801 0.811 0.403
O17 O 0.807 0.398 0.811
O18 O 0.863 0.228 0.070
O19 O 0.885 0.042 0.227
O20 O 0.939 0.644 0.651
# **Space-group type**: No. 2
# **N(E_F)**: 0.00 states/eV/cell
# **E**: -5.444 eV per atom